1.
DFT (PBE) results for a relaxed PrSmNi2P2 crystal.

Cell lengths 3.9450, 3.9450, 7.9954 Å; angles 90.00, 90.00, 120.00 degrees
Sites, in units of the cell vectors:
Pr: 0.0000 0.0000 0.0000
Sm: 0.0000 0.0000 0.5000
Ni: 0.3333 0.6667 0.7470
Ni: 0.6667 0.3333 0.2530
P: 0.3333 0.6667 0.2560
P: 0.6667 0.3333 0.7440

Output
Space-group type ... P-3m1 (164)
Crystal system ... trigonal


2.
DFT (PBE) results for a relaxed NiP2Pt crystal.

Cell lengths 5.2289, 3.4325, 13.0879 Å; angles 90.00, 90.00, 90.00 degrees
Sites, in units of the cell vectors:
Ni: 0.0058 0.2500 0.0867
Ni: 0.4942 0.7500 0.5867
Ni: 0.5058 0.2500 0.4133
Ni: 0.9942 0.7500 0.9133
P: 0.1663 0.2500 0.8050
P: 0.2315 0.2500 0.5447
P: 0.2685 0.7500 0.0447
P: 0.3337 0.7500 0.3050
P: 0.6663 0.2500 0.6950
P: 0.7315 0.2500 0.9553
P: 0.7685 0.7500 0.4553
P: 0.8337 0.7500 0.1950
Pt: 0.0194 0.2500 0.3761
Pt: 0.4806 0.7500 0.8761
Pt: 0.5194 0.2500 0.1239
Pt: 0.9806 0.7500 0.6239

Output
Space-group type ... Pnma (62)
Crystal system ... orthorhombic


3.
DFT (PBE) results for a relaxed PuNi4P2 crystal.

Cell lengths 6.9887, 6.9887, 3.6251 Å; angles 90.00, 90.00, 90.00 degrees
Sites, in units of the cell vectors:
Pu: 0.0000 0.0000 0.0000
Pu: 0.5000 0.5000 0.5000
Ni: 0.0897 0.3403 0.5000
Ni: 0.1597 0.5897 0.0000
Ni: 0.3403 0.0897 0.5000
Ni: 0.4103 0.8403 0.0000
Ni: 0.5897 0.1597 0.0000
Ni: 0.6597 0.9103 0.5000
Ni: 0.8403 0.4103 0.0000
Ni: 0.9103 0.6597 0.5000
P: 0.2169 0.7831 0.5000
P: 0.2831 0.2831 0.0000
P: 0.7169 0.7169 0.0000
P: 0.7831 0.2169 0.5000

Output
Space-group type ... P4_2/mnm (136)
Crystal system ... tetragonal


4.
DFT (PBE) results for a relaxed PuNiP2 crystal.

Cell lengths 3.8374, 3.8374, 9.0622 Å; angles 90.00, 90.00, 90.00 degrees
Sites, in units of the cell vectors:
Pu: 0.0000 0.0000 0.0000
Pu: 0.5000 0.5000 0.5000
Ni: 0.0000 0.5000 0.7500
Ni: 0.5000 0.0000 0.2500
P: 0.0000 0.0000 0.3755
P: 0.0000 0.0000 0.6245
P: 0.5000 0.5000 0.1245
P: 0.5000 0.5000 0.8755

Output
Space-group type ... I-4m2 (119)
Crystal system ... tetragonal


5.
DFT (PBE) results for a relaxed NiPS3 crystal.

Cell lengths 7.4811, 7.4811, 7.4811 Å; angles 45.75, 45.75, 45.75 degrees
Sites, in units of the cell vectors:
Ni: 0.1666 0.1666 0.1666
Ni: 0.8334 0.8334 0.8334
P: 0.4458 0.4458 0.4458
P: 0.5542 0.5542 0.5542
S: 0.0787 0.7695 0.4244
S: 0.2305 0.5756 0.9213
S: 0.4244 0.0787 0.7695
S: 0.5756 0.9213 0.2305
S: 0.7695 0.4244 0.0787
S: 0.9213 0.2305 0.5756

Output
Space-group type ... R-3 (148)
Crystal system ... trigonal


6.
DFT (PBE) results for a relaxed Ni3P2S8 crystal.

Cell lengths 6.8237, 6.8237, 7.0812 Å; angles 90.00, 90.00, 120.00 degrees
Sites, in units of the cell vectors:
Ni: 0.0000 0.5000 0.0000
Ni: 0.5000 0.0000 0.0000
Ni: 0.5000 0.5000 0.0000
P: 0.3333 0.6667 0.6740
P: 0.6667 0.3333 0.3260
S: 0.1816 0.3633 0.8338
S: 0.1816 0.8184 0.8338
S: 0.3333 0.6667 0.4027
S: 0.3633 0.1816 0.1662
S: 0.6367 0.8184 0.8338
S: 0.6667 0.3333 0.5973
S: 0.8184 0.1816 0.1662
S: 0.8184 0.6367 0.1662

Output
Space-group type ... P-3m1 (164)
Crystal system ... trigonal


7.
DFT (PBE) results for a relaxed TlNiPS5 crystal.

Cell lengths 6.4309, 7.3836, 9.0668 Å; angles 109.75, 97.41, 92.02 degrees
Sites, in units of the cell vectors:
Tl: 0.2097 0.1902 0.4320
Tl: 0.7903 0.8098 0.5680
Ni: 0.0009 0.7272 0.0000
Ni: 0.9991 0.2728 0.0000
P: 0.2198 0.6204 0.2733
P: 0.7802 0.3796 0.7267
S: 0.0992 0.4322 0.8304
S: 0.1018 0.9661 0.9108
S: 0.2849 0.7185 0.5075
S: 0.3127 0.3491 0.1632
S: 0.3151 0.8051 0.1634
S: 0.6849 0.1949 0.8366
S: 0.6873 0.6509 0.8368
S: 0.7151 0.2815 0.4925
S: 0.8982 0.0339 0.0892
S: 0.9008 0.5678 0.1696

Output
Space-group type ... P-1 (2)
Crystal system ... triclinic


8.
DFT (PBE) results for a relaxed ScNiP crystal.

Cell lengths 5.6656, 5.6656, 5.6656 Å; angles 90.00, 90.00, 90.00 degrees
Sites, in units of the cell vectors:
Sc: 0.0000 0.0000 0.0000
Sc: 0.0000 0.5000 0.5000
Sc: 0.5000 0.0000 0.5000
Sc: 0.5000 0.5000 0.0000
Ni: 0.2500 0.2500 0.2500
Ni: 0.2500 0.7500 0.7500
Ni: 0.7500 0.2500 0.7500
Ni: 0.7500 0.7500 0.2500
P: 0.0000 0.0000 0.5000
P: 0.0000 0.5000 0.0000
P: 0.5000 0.0000 0.0000
P: 0.5000 0.5000 0.5000

Output
Space-group type ... F-43m (216)
Crystal system ... cubic


9.
DFT (PBE) results for a relaxed ScNiP crystal.

Cell lengths 6.3217, 3.7344, 7.0989 Å; angles 90.00, 90.00, 90.00 degrees
Sites, in units of the cell vectors:
Sc: 0.0218 0.2500 0.1842
Sc: 0.4782 0.7500 0.6842
Sc: 0.5218 0.2500 0.3158
Sc: 0.9782 0.7500 0.8158
Ni: 0.1398 0.2500 0.5602
Ni: 0.3602 0.7500 0.0602
Ni: 0.6398 0.2500 0.9398
Ni: 0.8602 0.7500 0.4398
P: 0.2345 0.7500 0.3803
P: 0.2655 0.2500 0.8803
P: 0.7345 0.7500 0.1197
P: 0.7655 0.2500 0.6197

Output
Space-group type ... Pnma (62)
Crystal system ... orthorhombic


10.
DFT (PBE) results for a relaxed ScNi4P2 crystal.

Cell lengths 6.9420, 6.9420, 3.5518 Å; angles 90.00, 90.00, 90.00 degrees
Sites, in units of the cell vectors:
Sc: 0.0000 0.0000 0.0000
Sc: 0.5000 0.5000 0.5000
Ni: 0.0816 0.3321 0.5000
Ni: 0.1679 0.5816 0.0000
Ni: 0.3321 0.0816 0.5000
Ni: 0.4184 0.8321 0.0000
Ni: 0.5816 0.1679 0.0000
Ni: 0.6679 0.9184 0.5000
Ni: 0.8321 0.4184 0.0000
Ni: 0.9184 0.6679 0.5000
P: 0.2212 0.7788 0.5000
P: 0.2788 0.2788 0.0000
P: 0.7212 0.7212 0.0000
P: 0.7788 0.2212 0.5000

Output
Space-group type ... P4_2/mnm (136)
Crystal system ... tetragonal


11.
DFT (PBE) results for a relaxed ScNiP crystal.

Cell lengths 3.8117, 3.8117, 6.9386 Å; angles 90.00, 90.00, 120.00 degrees
Sites, in units of the cell vectors:
Sc: 0.0000 0.0000 0.0000
Sc: 0.0000 0.0000 0.5000
Ni: 0.3333 0.6667 0.2662
Ni: 0.6667 0.3333 0.7662
P: 0.3333 0.6667 0.7382
P: 0.6667 0.3333 0.2382

Output
Space-group type ... P6_3mc (186)
Crystal system ... hexagonal


12.
DFT (PBE) results for a relaxed Sc2Ni12P7 crystal.

Cell lengths 8.9771, 8.9771, 3.5807 Å; angles 90.00, 90.00, 120.00 degrees
Sites, in units of the cell vectors:
Sc: 0.0000 0.0000 0.0000
Sc: 0.3333 0.6667 0.5000
Ni: 0.0514 0.2829 0.5000
Ni: 0.1017 0.7059 0.0000
Ni: 0.2315 0.9486 0.5000
Ni: 0.2941 0.3958 0.0000
Ni: 0.3904 0.1775 0.0000
Ni: 0.5406 0.4280 0.5000
Ni: 0.5720 0.1126 0.5000
Ni: 0.6042 0.8983 0.0000
Ni: 0.7171 0.7685 0.5000
Ni: 0.7871 0.6096 0.0000
Ni: 0.8225 0.2129 0.0000
Ni: 0.8874 0.4594 0.5000
P: 0.0801 0.4522 0.0000
P: 0.2553 0.2141 0.5000
P: 0.3722 0.9199 0.0000
P: 0.5478 0.6278 0.0000
P: 0.6667 0.3333 0.0000
P: 0.7859 0.0411 0.5000
P: 0.9589 0.7447 0.5000

Output
Space-group type ... P-6 (174)
Crystal system ... hexagonal


What energy values result from the calculations? In sequence: -38.44 -92.62 -101.42 -68.12 -48.81 -64.24 -71.98 -81.73 -83.76 -90.40 -41.50 -133.34 eV/cell.